Compound: GeBiS2
Source: Alexandria via LeMat-Bulk
Functional: PBE
Structure: optimized geometry

abc: 3.674 5.692 4.574
angles: 90.00 90.00 90.00
Fractional positions:
Ge (0.000, 0.000, 0.000)
Bi (0.500, 0.500, 0.489)
S (0.000, 0.500, 0.998)
S (0.500, 0.000, 0.368)

Output
* uncorrected energy: -0.1592 Ha/atom
* distance to the lowest polymorph of the same formula: 0.0 meV per atom
* symmetry: Pmm2, No. 25